No. 1
VI3O | GGA+U | optimized geometry

a = 5.155 Å, b = 5.155 Å, c = 5.155 Å
α = 90.00°, β = 90.00°, γ = 90.00°
Site moments in Bohr magnetons follow the coordinates.
Fractional positions:
O (0.000, 0.000, 0.000)  -0.01
I (0.000, 0.500, 0.000)  -0.03
I (0.500, 0.000, 0.000)  -0.03
V (0.500, 0.500, 0.500)  2.99
I (0.000, 0.000, 0.500)  -0.03

Values from the calculation:
Space-group type: Pm-3m (221)
DOS(E_F): 0.888 states/eV/atom
Electronic total energy: -2.7976 eV/atom

***

No. 2
V4IO7 | GGA+U | optimized geometry

a = 6.231 Å, b = 5.720 Å, c = 12.114 Å
α = 90.00°, β = 90.00°, γ = 90.00°
Site moments in Bohr magnetons follow the coordinates.
Fractional positions:
O (0.976, 0.358, 0.500)  -0.10
O (0.578, 0.393, 0.202)  -0.07
O (0.921, 0.113, 0.710)  -0.05
V (0.086, 0.337, 0.363)  0.67
V (0.100, 0.873, 0.798)  1.94
V (0.586, 0.663, 0.863)  0.67
O (0.336, 0.215, 0.371)  -0.06
V (0.600, 0.127, 0.702)  1.94
I (0.637, 0.834, 0.500)  -0.05
O (0.476, 0.642, 0.000)  -0.10
O (0.336, 0.215, 0.629)  -0.06
V (0.600, 0.127, 0.298)  1.94
O (0.421, 0.887, 0.210)  -0.05
O (0.578, 0.393, 0.798)  -0.07
O (0.836, 0.785, 0.871)  -0.06
O (0.921, 0.113, 0.290)  -0.05
O (0.421, 0.887, 0.790)  -0.05
I (0.137, 0.166, 0.000)  -0.05
V (0.086, 0.337, 0.637)  0.67
O (0.078, 0.607, 0.298)  -0.07
V (0.100, 0.873, 0.202)  1.94
O (0.078, 0.607, 0.702)  -0.07
V (0.586, 0.663, 0.137)  0.67
O (0.836, 0.785, 0.129)  -0.06

Values from the calculation:
Space-group type: Pmn2_1 (31)
DOS(E_F): 0.017 states/eV/atom
Electronic total energy: -7.1556 eV/atom

***

No. 3
VI2O | GGA+U | optimized geometry

a = 7.067 Å, b = 7.067 Å, c = 6.805 Å
α = 58.72°, β = 58.72°, γ = 90.00°
Site moments in Bohr magnetons follow the coordinates.
Fractional positions:
I (0.375, 0.369, 0.750)  -0.25
I (0.119, 0.625, 0.250)  -0.25
V (0.000, 0.000, 0.000)  2.67
I (0.631, 0.125, 0.250)  -0.25
O (0.500, 0.500, 0.000)  -1.10
V (0.750, 0.250, 0.500)  2.67
O (0.250, 0.750, 0.500)  -1.10
I (0.875, 0.881, 0.750)  -0.25

Values from the calculation:
Space-group type: I-42d (122)
DOS(E_F): 0.784 states/eV/atom
Electronic total energy: -3.4248 eV/atom

***

No. 4
VI2O2 | GGA+U | optimized geometry

a = 4.120 Å, b = 4.120 Å, c = 7.687 Å
α = 90.00°, β = 90.00°, γ = 90.00°
Site moments in Bohr magnetons follow the coordinates.
Fractional positions:
I (0.000, 0.000, 0.500)  -0.03
O (0.500, 0.000, 0.000)  -0.01
V (0.500, 0.500, 0.500)  3.12
O (0.000, 0.500, 0.000)  -0.01
I (0.000, 0.000, 0.000)  -0.01

Values from the calculation:
Energy above the lowest structure with this stoichiometry: 0.428 eV/atom
Space-group type: P4/mmm (123)
DOS(E_F): 0.914 states/eV/atom
Electronic total energy: -3.8263 eV/atom

***

No. 5
V5I3O12 | GGA+U | optimized geometry

a = 11.576 Å, b = 11.576 Å, c = 11.576 Å
α = 109.47°, β = 109.47°, γ = 109.47°
Site moments in Bohr magnetons follow the coordinates.
Fractional positions:
V (0.125, 0.375, 0.250)  0.49
O (0.056, 0.189, 0.164)  -0.12
O (0.189, 0.056, 0.664)  -0.12
O (0.664, 0.556, 0.189)  -0.12
O (0.444, 0.108, 0.633)  -0.12
O (0.336, 0.444, 0.811)  -0.12
V (0.000, 0.500, 0.500)  1.96
O (0.811, 0.867, 0.975)  -0.12
O (0.133, 0.944, 0.108)  -0.12
O (0.689, 0.525, 0.633)  -0.12
I (0.625, 0.375, 0.750)  -0.04
O (0.944, 0.133, 0.608)  -0.12
I (0.625, 0.250, 0.375)  -0.04
I (0.250, 0.125, 0.375)  -0.04
V (0.375, 0.250, 0.125)  0.49
V (0.000, 0.500, 0.000)  1.96
V (0.375, 0.125, 0.750)  0.49
O (0.664, 0.108, 0.975)  -0.12
O (0.367, 0.975, 0.311)  -0.12
O (0.867, 0.056, 0.892)  -0.12
V (0.750, 0.625, 0.375)  0.49
O (0.556, 0.892, 0.367)  -0.12
V (0.000, 0.000, 0.000)  1.96
V (0.000, 0.000, 0.500)  1.96
O (0.892, 0.556, 0.867)  -0.12
O (0.108, 0.444, 0.133)  -0.12
I (0.875, 0.750, 0.125)  -0.04
O (0.525, 0.689, 0.133)  -0.12
V (0.625, 0.750, 0.875)  0.49
O (0.975, 0.608, 0.664)  -0.12
O (0.475, 0.164, 0.108)  -0.12
O (0.836, 0.311, 0.944)  -0.12
V (0.875, 0.625, 0.750)  0.49
O (0.189, 0.133, 0.025)  -0.12
I (0.375, 0.750, 0.625)  -0.04
O (0.025, 0.392, 0.336)  -0.12
O (0.311, 0.836, 0.444)  -0.12
I (0.875, 0.125, 0.250)  -0.04
O (0.892, 0.336, 0.525)  -0.12
I (0.375, 0.625, 0.250)  -0.04
O (0.056, 0.867, 0.392)  -0.12
V (0.500, 0.500, 0.000)  1.96
O (0.133, 0.189, 0.525)  -0.12
O (0.392, 0.025, 0.836)  -0.12
O (0.164, 0.689, 0.056)  -0.12
I (0.750, 0.875, 0.625)  -0.04
O (0.836, 0.525, 0.392)  -0.12
V (0.500, 0.000, 0.500)  1.96
O (0.975, 0.367, 0.811)  -0.12
O (0.633, 0.025, 0.689)  -0.12
O (0.525, 0.836, 0.892)  -0.12
O (0.164, 0.475, 0.608)  -0.12
O (0.392, 0.367, 0.056)  -0.12
I (0.125, 0.250, 0.875)  -0.04
I (0.750, 0.375, 0.125)  -0.04
O (0.867, 0.811, 0.475)  -0.12
V (0.250, 0.375, 0.625)  0.49
V (0.125, 0.750, 0.375)  0.49
O (0.475, 0.311, 0.867)  -0.12
O (0.811, 0.944, 0.336)  -0.12
I (0.250, 0.625, 0.875)  -0.04
O (0.367, 0.392, 0.556)  -0.12
O (0.944, 0.811, 0.836)  -0.12
O (0.608, 0.975, 0.164)  -0.12
V (0.750, 0.125, 0.875)  0.49
O (0.108, 0.664, 0.475)  -0.12
O (0.556, 0.664, 0.689)  -0.12
O (0.311, 0.475, 0.367)  -0.12
V (0.250, 0.875, 0.125)  0.49
O (0.336, 0.892, 0.025)  -0.12
O (0.608, 0.633, 0.944)  -0.12
O (0.633, 0.608, 0.444)  -0.12
O (0.444, 0.336, 0.311)  -0.12
O (0.025, 0.633, 0.189)  -0.12
V (0.500, 0.000, 0.000)  1.96
I (0.125, 0.875, 0.750)  -0.04
V (0.875, 0.250, 0.625)  0.49
V (0.625, 0.875, 0.250)  0.49
O (0.689, 0.164, 0.556)  -0.12
V (0.500, 0.500, 0.500)  1.96

Values from the calculation:
Space-group type: Ia-3d (230)
DOS(E_F): 0.817 states/eV/atom
Electronic total energy: -6.1611 eV/atom

***

No. 6
VIO4 | GGA+U | optimized geometry

a = 7.016 Å, b = 7.016 Å, c = 9.997 Å
α = 76.83°, β = 76.83°, γ = 85.92°
Fractional positions:
I (0.799, 0.201, 0.500)
V (0.704, 0.704, 0.455)
O (0.538, 0.226, 0.453)
O (0.699, 0.699, 0.295)
O (0.516, 0.214, 0.106)
O (0.226, 0.538, 0.453)
O (0.301, 0.301, 0.705)
O (0.087, 0.788, 0.886)
V (0.750, 0.250, 0.000)
O (0.913, 0.212, 0.114)
O (0.462, 0.774, 0.547)
O (0.214, 0.516, 0.106)
I (0.201, 0.799, 0.500)
O (0.484, 0.786, 0.894)
O (0.788, 0.087, 0.886)
I (0.785, 0.785, 0.898)
I (0.215, 0.215, 0.102)
V (0.296, 0.296, 0.545)
O (0.126, 0.126, 0.539)
O (0.212, 0.913, 0.114)
O (0.786, 0.484, 0.894)
O (0.774, 0.462, 0.547)
V (0.250, 0.750, 0.000)
O (0.874, 0.874, 0.461)

Values from the calculation:
Space-group type: C2/m (12)
Electronic total energy: -5.8769 eV/atom

***

No. 7
VI2O2 | GGA+U | optimized geometry

a = 4.861 Å, b = 4.861 Å, c = 3.999 Å
α = 90.00°, β = 90.00°, γ = 90.00°
Site moments in Bohr magnetons follow the coordinates.
Fractional positions:
I (0.000, 0.500, 0.000)  -0.03
I (0.500, 0.000, 0.000)  -0.03
O (0.000, 0.000, 0.000)  -0.04
O (0.000, 0.000, 0.500)  0.18
V (0.500, 0.500, 0.500)  1.48

Values from the calculation:
Energy above the lowest structure with this stoichiometry: 1.107 eV/atom
Space-group type: P4/mmm (123)
DOS(E_F): 1.027 states/eV/atom
Electronic total energy: -3.1470 eV/atom

***

No. 8
VI3O | GGA+U | optimized geometry

a = 5.653 Å, b = 5.653 Å, c = 5.653 Å
α = 90.00°, β = 90.00°, γ = 90.00°
Site moments in Bohr magnetons follow the coordinates.
Fractional positions:
O (0.500, 0.500, 0.500)  1.44
I (0.500, 0.000, 0.000)  0.09
V (0.000, 0.000, 0.000)  2.60
I (0.000, 0.000, 0.500)  0.09
I (0.000, 0.500, 0.000)  0.09

Values from the calculation:
Space-group type: Pm-3m (221)
DOS(E_F): 3.016 states/eV/atom
Electronic total energy: -2.8629 eV/atom

***

No. 9
VI2O8 | GGA+U | optimized geometry

a = 5.417 Å, b = 6.637 Å, c = 6.637 Å
α = 68.83°, β = 77.46°, γ = 77.46°
Fractional positions:
O (0.725, 0.155, 0.155)
I (0.648, 0.834, 0.834)
V (0.000, 0.000, 0.000)
O (0.209, 0.332, 0.332)
O (0.275, 0.845, 0.845)
O (0.175, 0.249, 0.906)
O (0.825, 0.751, 0.094)
I (0.352, 0.166, 0.166)
O (0.791, 0.668, 0.668)
O (0.175, 0.906, 0.249)
O (0.825, 0.094, 0.751)

Values from the calculation:
Space-group type: C2/m (12)
DOS(E_F): 0.315 states/eV/atom
Electronic total energy: -4.9139 eV/atom

***

No. 10
V2IO8 | GGA+U | optimized geometry

a = 5.171 Å, b = 6.767 Å, c = 6.767 Å
α = 48.24°, β = 88.82°, γ = 88.82°
Fractional positions:
O (0.767, 0.876, 0.876)
O (0.386, 0.716, 0.716)
O (0.233, 0.124, 0.124)
O (0.231, 0.688, 0.149)
O (0.614, 0.284, 0.284)
O (0.769, 0.851, 0.312)
O (0.231, 0.149, 0.688)
V (0.573, 0.153, 0.153)
I (0.000, 0.000, 0.000)
V (0.427, 0.847, 0.847)
O (0.769, 0.312, 0.851)

Values from the calculation:
Energy above the lowest structure with this stoichiometry: 0.000 eV/atom
Space-group type: C2/m (12)
DOS(E_F): 0.279 states/eV/atom
Electronic total energy: -6.0992 eV/atom

***

No. 11
VI2O | GGA+U | optimized geometry

a = 4.858 Å, b = 4.858 Å, c = 4.858 Å
α = 60.00°, β = 60.00°, γ = 60.00°
Site moments in Bohr magnetons follow the coordinates.
Fractional positions:
V (0.500, 0.500, 0.500)  2.27
I (0.250, 0.250, 0.250)  -0.14
O (0.000, 0.000, 0.000)  0.47
I (0.750, 0.750, 0.750)  -0.14

Values from the calculation:
Space-group type: Fm-3m (225)
DOS(E_F): 1.125 states/eV/atom
Electronic total energy: -3.3529 eV/atom

***

No. 12
VIO3 | GGA+U | optimized geometry

a = 4.221 Å, b = 4.221 Å, c = 4.221 Å
α = 90.00°, β = 90.00°, γ = 90.00°
Site moments in Bohr magnetons follow the coordinates.
Fractional positions:
O (0.000, 0.500, 0.000)  -0.01
V (0.500, 0.500, 0.500)  3.10
O (0.500, 0.000, 0.000)  -0.01
O (0.000, 0.000, 0.500)  -0.01
I (0.000, 0.000, 0.000)  -0.03

Values from the calculation:
Space-group type: Pm-3m (221)
DOS(E_F): 1.422 states/eV/atom
Electronic total energy: -4.5507 eV/atom

***

- Among the records above, which one has the highest electronic total energy?
  number 1

***

- Which of these has the lowest electronic total energy?
  V4IO7

***

What did the fourth record say?
VI2O2 | GGA+U | optimized geometry

a = 4.120 Å, b = 4.120 Å, c = 7.687 Å
α = 90.00°, β = 90.00°, γ = 90.00°
Site moments in Bohr magnetons follow the coordinates.
Fractional positions:
I (0.000, 0.000, 0.500)  -0.03
O (0.500, 0.000, 0.000)  -0.01
V (0.500, 0.500, 0.500)  3.12
O (0.000, 0.500, 0.000)  -0.01
I (0.000, 0.000, 0.000)  -0.01

Values from the calculation:
Energy above the lowest structure with this stoichiometry: 0.428 eV/atom
Space-group type: P4/mmm (123)
DOS(E_F): 0.914 states/eV/atom
Electronic total energy: -3.8263 eV/atom

***

What did the twelfth record say?
VIO3 | GGA+U | optimized geometry

a = 4.221 Å, b = 4.221 Å, c = 4.221 Å
α = 90.00°, β = 90.00°, γ = 90.00°
Site moments in Bohr magnetons follow the coordinates.
Fractional positions:
O (0.000, 0.500, 0.000)  -0.01
V (0.500, 0.500, 0.500)  3.10
O (0.500, 0.000, 0.000)  -0.01
O (0.000, 0.000, 0.500)  -0.01
I (0.000, 0.000, 0.000)  -0.03

Values from the calculation:
Space-group type: Pm-3m (221)
DOS(E_F): 1.422 states/eV/atom
Electronic total energy: -4.5507 eV/atom